[1]
Hf6Fe16Si7 | PBE | optimized geometry

Summary:
crystal system: cubic

abc: 11.362 11.362 11.362
angles: 90.00 90.00 90.00
Space group Fm-3m (No. 225)
Unique sites:
Hf 0.000 0.000 0.204
Fe 0.121 0.121 0.379
Fe 0.176 0.176 0.176
Si 0.000 0.000 0.500
Si 0.000 0.250 0.250



[2]
Y3Ho2Tm2Ni2Te2 | PBE | optimized geometry

Summary:
crystal system: orthorhombic

abc: 3.849 15.545 9.493
angles: 90.00 90.00 90.00
Space group Imm2 (No. 44)
Unique sites:
Y 0.000 0.000 0.000
Y 0.000 0.353 0.267
Ho 0.000 0.133 0.416
Tm 0.000 0.315 0.619
Ni 0.000 0.239 0.930
Te 0.000 0.000 0.661
Te 0.000 0.500 0.764



[3]
FeCuPdPb | PBE | optimized geometry

Summary:
polymorph energy (0 for the lowest one): 0 meV per atom
crystal system: cubic

abc: 6.358 6.358 6.358
angles: 90.00 90.00 90.00
Space group F-43m (No. 216)
Unique sites:
Fe 0.000 0.000 0.000
Cu 0.000 0.000 0.500
Pd 0.250 0.250 0.750
Pb 0.250 0.250 0.250



[4]
NdCl2 | PBE | optimized geometry

Summary:
crystal system: monoclinic

abc: 7.947 3.674 10.434
angles: 90.00 103.31 90.00
Space group P2_1/c (No. 14)
Unique sites:
Nd 0.236 0.246 0.172
Cl 0.069 0.247 0.390
Cl 0.424 0.746 0.365



[5]
RbBeHg | PBE | optimized geometry

Summary:
polymorph energy (0 for the lowest one): 50 meV per atom
crystal system: cubic

abc: 7.642 7.642 7.642
angles: 90.00 90.00 90.00
Space group F-43m (No. 216)
Unique sites:
Rb 0.000 0.000 0.000
Be 0.000 0.000 0.500
Hg 0.250 0.250 0.750



[6]
TcCl3 | PBE | optimized geometry

Summary:
polymorph energy (0 for the lowest one): 0 meV per atom
crystal system: trigonal

abc: 10.2436 10.2436 20.3467
angles: 90.00 90.00 120.00
Space group R-3m (No. 166, hexagonal axes)
Unique sites:
Tc 0.0791 0.1581 0.2743
Cl 0.0211 0.5105 0.3901
Cl 0.1033 0.2067 0.1658
Cl 0.1054 0.2109 0.3890



Let's list calculated total energy in order: -8.51; -5.68; -5.02; -4.72; -0.89; -4.68 eV per atom.